# KHf3Se (PBE-GGA, relaxed)
# * ΔE to the lowest computed polymorph: 0.0 kJ/mol of atoms
# * formation energy from raw total energies: 0.5218 eV/atom
data_KHf3Se
_symmetry_space_group_name_H-M 'P m -3 m'
_symmetry_Int_Tables_number 221
_symmetry_space_group_name_Hall '-P 4 2 3'
_cell_length_a 5.120
_cell_length_b 5.120
_cell_length_c 5.120
_cell_angle_alpha 90.00
_cell_angle_beta 90.00
_cell_angle_gamma 90.00
loop_
_atom_site_label
_atom_site_type_symbol
_atom_site_fract_x
_atom_site_fract_y
_atom_site_fract_z
_atom_site_occupancy
K1 K 0.000 0.000 0.000 1
Hf1 Hf 0.000 0.500 0.500 1
Se1 Se 0.500 0.500 0.500 1

---

# K2HfSe (PBE-GGA, relaxed)
# * formation energy from raw total energies: 0.0783 eV/atom
data_K2HfSe
_symmetry_space_group_name_H-M 'I -4 2 d'
_symmetry_Int_Tables_number 122
_symmetry_space_group_name_Hall 'I -4 2bw'
_cell_length_a 12.101
_cell_length_b 12.101
_cell_length_c 5.118
_cell_angle_alpha 90.00
_cell_angle_beta 90.00
_cell_angle_gamma 90.00
loop_
_atom_site_label
_atom_site_type_symbol
_atom_site_fract_x
_atom_site_fract_y
_atom_site_fract_z
_atom_site_occupancy
K1 K 0.103 0.250 0.125 1
Hf1 Hf 0.000 0.000 0.500 1
Se1 Se 0.000 0.000 0.000 1

---

# K3HfSe (PBE-GGA, relaxed)
# * ΔE to the lowest computed polymorph: 57.6 kJ/mol of atoms
# * formation energy from raw total energies: 1.0593 eV/atom
data_K3HfSe
_symmetry_space_group_name_H-M 'P m -3 m'
_symmetry_Int_Tables_number 221
_symmetry_space_group_name_Hall '-P 4 2 3'
_cell_length_a 6.404
_cell_length_b 6.404
_cell_length_c 6.404
_cell_angle_alpha 90.00
_cell_angle_beta 90.00
_cell_angle_gamma 90.00
loop_
_atom_site_label
_atom_site_type_symbol
_atom_site_fract_x
_atom_site_fract_y
_atom_site_fract_z
_atom_site_occupancy
K1 K 0.000 0.000 0.500 1
Hf1 Hf 0.000 0.000 0.000 1
Se1 Se 0.500 0.500 0.500 1

---

# K4HfSe4 (PBE-GGA, relaxed)
# * formation energy from raw total energies: -1.3122 eV/atom
data_K4HfSe4
_symmetry_space_group_name_H-M 'P 42/n m c'
_symmetry_Int_Tables_number 137
_cell_length_a 9.291
_cell_length_b 9.291
_cell_length_c 7.468
_cell_angle_alpha 90.00
_cell_angle_beta 90.00
_cell_angle_gamma 90.00
loop_
_symmetry_equiv_pos_as_xyz
'x,y,z'
'-x,-y,-z'
'-y+1/2,x,z+1/2'
'y+1/2,-x,-z+1/2'
'-x+1/2,-y+1/2,z'
'x+1/2,y+1/2,-z'
'y,-x+1/2,z+1/2'
'-y,x+1/2,-z+1/2'
'x+1/2,-y,-z'
'-x+1/2,y,z'
'-y,-x,-z+1/2'
'y,x,z+1/2'
'-x,y+1/2,-z'
'x,-y+1/2,z'
'y+1/2,x+1/2,-z+1/2'
'-y+1/2,-x+1/2,z+1/2'
loop_
_atom_site_label
_atom_site_type_symbol
_atom_site_fract_x
_atom_site_fract_y
_atom_site_fract_z
_atom_site_occupancy
K1 K 0.026 0.250 0.108 1
Hf1 Hf 0.250 0.750 0.250 1
Se1 Se 0.030 0.750 0.447 1

---

# K2SmHfSe4 (PBE-GGA, relaxed)
# * formation energy from raw total energies: -1.4885 eV/atom
data_K2SmHfSe4
_symmetry_space_group_name_H-M 'P 1 2/m 1'
_symmetry_Int_Tables_number 10
_cell_length_a 7.116
_cell_length_b 4.070
_cell_length_c 8.074
_cell_angle_alpha 90.00
_cell_angle_beta 106.73
_cell_angle_gamma 90.00
loop_
_symmetry_equiv_pos_as_xyz
'x,y,z'
'-x,-y,-z'
'-x,y,-z'
'x,-y,z'
loop_
_atom_site_label
_atom_site_type_symbol
_atom_site_fract_x
_atom_site_fract_y
_atom_site_fract_z
_atom_site_occupancy
K1 K 0.000 0.000 0.000 1
K2 K 0.500 0.500 0.000 1
Sm1 Sm 0.000 0.500 0.500 1
Hf1 Hf 0.500 0.000 0.500 1
Se1 Se 0.256 0.000 0.709 1
Se2 Se 0.285 0.500 0.300 1

---

# K3Sm3HfSe8 (PBE-GGA, relaxed)
# * formation energy from raw total energies: -1.6715 eV/atom
data_K3Sm3HfSe8
_symmetry_space_group_name_H-M 'R -3 m'
_symmetry_Int_Tables_number 166
_symmetry_space_group_name_Hall '-R 3 2"'
_cell_length_a 8.3765
_cell_length_b 8.3765
_cell_length_c 23.5334
_cell_angle_alpha 90.00
_cell_angle_beta 90.00
_cell_angle_gamma 120.00
loop_
_atom_site_label
_atom_site_type_symbol
_atom_site_fract_x
_atom_site_fract_y
_atom_site_fract_z
_atom_site_occupancy
K1 K 0.0000 0.5000 0.0000 1
Sm1 Sm 0.0000 0.5000 0.5000 1
Hf1 Hf 0.0000 0.0000 0.5000 1
Se1 Se 0.0000 0.0000 0.2365 1
Se2 Se 0.0230 0.5115 0.2324 1

---

# K3Sm2HfSe6 (PBE-GGA, relaxed)
# * formation energy from raw total energies: -1.5763 eV/atom
data_K3Sm2HfSe6
_symmetry_space_group_name_H-M 'C 1 2/m 1'
_symmetry_Int_Tables_number 12
_cell_length_a 7.197
_cell_length_b 12.470
_cell_length_c 8.088
_cell_angle_alpha 90.00
_cell_angle_beta 107.36
_cell_angle_gamma 90.00
loop_
_symmetry_equiv_pos_as_xyz
'x,y,z'
'-x,-y,-z'
'-x,y,-z'
'x,-y,z'
'x+1/2,y+1/2,z'
'-x+1/2,-y+1/2,-z'
'-x+1/2,y+1/2,-z'
'x+1/2,-y+1/2,z'
loop_
_atom_site_label
_atom_site_type_symbol
_atom_site_fract_x
_atom_site_fract_y
_atom_site_fract_z
_atom_site_occupancy
K1 K 0.000 0.000 0.000 1
K2 K 0.000 0.328 0.000 1
Sm1 Sm 0.000 0.166 0.500 1
Hf1 Hf 0.000 0.500 0.500 1
Se1 Se 0.225 0.344 0.706 1
Se2 Se 0.242 0.500 0.293 1

---

# K4Sm3HfSe8 (PBE-GGA, relaxed)
# * formation energy from raw total energies: -1.6178 eV/atom
data_K4Sm3HfSe8
_symmetry_space_group_name_H-M 'R -3 m'
_symmetry_Int_Tables_number 166
_symmetry_space_group_name_Hall '-R 3 2"'
_cell_length_a 8.3838
_cell_length_b 8.3838
_cell_length_c 23.1510
_cell_angle_alpha 90.00
_cell_angle_beta 90.00
_cell_angle_gamma 120.00
loop_
_atom_site_label
_atom_site_type_symbol
_atom_site_fract_x
_atom_site_fract_y
_atom_site_fract_z
_atom_site_occupancy
K1 K 0.0000 0.0000 0.0000 1
K2 K 0.0000 0.5000 0.0000 1
Sm1 Sm 0.0000 0.5000 0.5000 1
Hf1 Hf 0.0000 0.0000 0.5000 1
Se1 Se 0.0000 0.0000 0.2381 1
Se2 Se 0.0206 0.5103 0.2347 1

---

# K2HfSnSe5 (PBE-GGA, relaxed)
# * formation energy from raw total energies: -1.0155 eV/atom
data_K2HfSnSe5
_symmetry_space_group_name_H-M 'C m c 21'
_symmetry_Int_Tables_number 36
_cell_length_a 4.015
_cell_length_b 19.564
_cell_length_c 14.400
_cell_angle_alpha 90.00
_cell_angle_beta 90.00
_cell_angle_gamma 90.00
loop_
_symmetry_equiv_pos_as_xyz
'x,y,z'
'-x,-y,z+1/2'
'-x,y,z'
'x,-y,z+1/2'
'x+1/2,y+1/2,z'
'-x+1/2,-y+1/2,z+1/2'
'-x+1/2,y+1/2,z'
'x+1/2,-y+1/2,z+1/2'
loop_
_atom_site_label
_atom_site_type_symbol
_atom_site_fract_x
_atom_site_fract_y
_atom_site_fract_z
_atom_site_occupancy
K1 K 0.000 0.120 0.000 1
K2 K 0.000 0.133 0.646 1
Hf1 Hf 0.000 0.218 0.359 1
Sn1 Sn 0.000 0.436 0.749 1
Se1 Se 0.000 0.059 0.367 1
Se2 Se 0.000 0.295 0.978 1
Se3 Se 0.000 0.305 0.723 1
Se4 Se 0.000 0.341 0.327 1
Se5 Se 0.000 0.499 0.601 1

---

# K2HfSnSe4 (PBE-GGA, relaxed)
# * formation energy from raw total energies: -1.1174 eV/atom
data_K2HfSnSe4
_symmetry_space_group_name_H-M 'P 1 2/m 1'
_symmetry_Int_Tables_number 10
_cell_length_a 7.420
_cell_length_b 4.102
_cell_length_c 7.885
_cell_angle_alpha 90.00
_cell_angle_beta 106.58
_cell_angle_gamma 90.00
loop_
_symmetry_equiv_pos_as_xyz
'x,y,z'
'-x,-y,-z'
'-x,y,-z'
'x,-y,z'
loop_
_atom_site_label
_atom_site_type_symbol
_atom_site_fract_x
_atom_site_fract_y
_atom_site_fract_z
_atom_site_occupancy
K1 K 0.000 0.000 0.000 1
K2 K 0.500 0.500 0.000 1
Hf1 Hf 0.000 0.500 0.500 1
Sn1 Sn 0.500 0.000 0.500 1
Se1 Se 0.210 0.000 0.695 1
Se2 Se 0.235 0.500 0.298 1

---

# K2HfSnSe (PBE-GGA, relaxed)
# * formation energy from raw total energies: 0.9346 eV/atom
data_K2HfSnSe
_symmetry_space_group_name_H-M 'P 4/m m m'
_symmetry_Int_Tables_number 123
_symmetry_space_group_name_Hall '-P 4 2'
_cell_length_a 6.725
_cell_length_b 6.725
_cell_length_c 5.286
_cell_angle_alpha 90.00
_cell_angle_beta 90.00
_cell_angle_gamma 90.00
loop_
_atom_site_label
_atom_site_type_symbol
_atom_site_fract_x
_atom_site_fract_y
_atom_site_fract_z
_atom_site_occupancy
K1 K 0.000 0.500 0.000 1
Hf1 Hf 0.000 0.000 0.500 1
Sn1 Sn 0.500 0.500 0.000 1
Se1 Se 0.500 0.500 0.500 1

---

# K3Tb3HfSe8 (PBE-GGA, relaxed)
# * formation energy from raw total energies: -1.6825 eV/atom
data_K3Tb3HfSe8
_symmetry_space_group_name_H-M 'R -3 m'
_symmetry_Int_Tables_number 166
_symmetry_space_group_name_Hall '-R 3 2"'
_cell_length_a 8.2563
_cell_length_b 8.2563
_cell_length_c 23.5347
_cell_angle_alpha 90.00
_cell_angle_beta 90.00
_cell_angle_gamma 120.00
loop_
_atom_site_label
_atom_site_type_symbol
_atom_site_fract_x
_atom_site_fract_y
_atom_site_fract_z
_atom_site_occupancy
K1 K 0.0000 0.5000 0.0000 1
Tb1 Tb 0.0000 0.5000 0.5000 1
Hf1 Hf 0.0000 0.0000 0.5000 1
Se1 Se 0.0000 0.0000 0.2353 1
Se2 Se 0.0185 0.5092 0.2321 1

---

# K3Tb2HfSe6 (PBE-GGA, relaxed)
# * formation energy from raw total energies: -1.5818 eV/atom
data_K3Tb2HfSe6
_symmetry_space_group_name_H-M 'C 1 2/m 1'
_symmetry_Int_Tables_number 12
_cell_length_a 7.116
_cell_length_b 12.329
_cell_length_c 8.071
_cell_angle_alpha 90.00
_cell_angle_beta 107.15
_cell_angle_gamma 90.00
loop_
_symmetry_equiv_pos_as_xyz
'x,y,z'
'-x,-y,-z'
'-x,y,-z'
'x,-y,z'
'x+1/2,y+1/2,z'
'-x+1/2,-y+1/2,-z'
'-x+1/2,y+1/2,-z'
'x+1/2,-y+1/2,z'
loop_
_atom_site_label
_atom_site_type_symbol
_atom_site_fract_x
_atom_site_fract_y
_atom_site_fract_z
_atom_site_occupancy
K1 K 0.000 0.000 0.000 1
K2 K 0.000 0.329 0.000 1
Tb1 Tb 0.000 0.166 0.500 1
Hf1 Hf 0.000 0.500 0.500 1
Se1 Se 0.226 0.342 0.704 1
Se2 Se 0.247 0.500 0.295 1

---

# K2HfTe2Se6 (PBE-GGA, relaxed)
# * formation energy from raw total energies: -0.6633 eV/atom
data_K2HfTe2Se6
_symmetry_space_group_name_H-M 'C 1 2/m 1'
_symmetry_Int_Tables_number 12
_cell_length_a 15.636
_cell_length_b 7.538
_cell_length_c 7.557
_cell_angle_alpha 90.00
_cell_angle_beta 117.07
_cell_angle_gamma 90.00
loop_
_symmetry_equiv_pos_as_xyz
'x,y,z'
'-x,-y,-z'
'-x,y,-z'
'x,-y,z'
'x+1/2,y+1/2,z'
'-x+1/2,-y+1/2,-z'
'-x+1/2,y+1/2,-z'
'x+1/2,-y+1/2,z'
loop_
_atom_site_label
_atom_site_type_symbol
_atom_site_fract_x
_atom_site_fract_y
_atom_site_fract_z
_atom_site_occupancy
K1 K 0.227 0.000 0.237 1
Hf1 Hf 0.000 0.000 0.500 1
Te1 Te 0.018 0.500 0.830 1
Se1 Se 0.094 0.254 0.403 1
Se2 Se 0.178 0.000 0.756 1

---

# K3HfTi2Se6 (PBE-GGA, relaxed)
# * formation energy from raw total energies: -1.2364 eV/atom
data_K3HfTi2Se6
_symmetry_space_group_name_H-M 'C 1 2/m 1'
_symmetry_Int_Tables_number 12
_cell_length_a 6.705
_cell_length_b 11.710
_cell_length_c 7.982
_cell_angle_alpha 90.00
_cell_angle_beta 106.44
_cell_angle_gamma 90.00
loop_
_symmetry_equiv_pos_as_xyz
'x,y,z'
'-x,-y,-z'
'-x,y,-z'
'x,-y,z'
'x+1/2,y+1/2,z'
'-x+1/2,-y+1/2,-z'
'-x+1/2,y+1/2,-z'
'x+1/2,-y+1/2,z'
loop_
_atom_site_label
_atom_site_type_symbol
_atom_site_fract_x
_atom_site_fract_y
_atom_site_fract_z
_atom_site_occupancy
K1 K 0.000 0.000 0.000 1
K2 K 0.000 0.336 0.000 1
Hf1 Hf 0.000 0.500 0.500 1
Ti1 Ti 0.000 0.176 0.500 1
Se1 Se 0.225 0.000 0.688 1
Se2 Se 0.235 0.333 0.697 1

---

# K2TmHfSe4 (PBE-GGA, relaxed)
# * formation energy from raw total energies: -1.4923 eV/atom
data_K2TmHfSe4
_symmetry_space_group_name_H-M 'P 1 2/m 1'
_symmetry_Int_Tables_number 10
_cell_length_a 6.991
_cell_length_b 4.007
_cell_length_c 8.044
_cell_angle_alpha 90.00
_cell_angle_beta 106.62
_cell_angle_gamma 90.00
loop_
_symmetry_equiv_pos_as_xyz
'x,y,z'
'-x,-y,-z'
'-x,y,-z'
'x,-y,z'
loop_
_atom_site_label
_atom_site_type_symbol
_atom_site_fract_x
_atom_site_fract_y
_atom_site_fract_z
_atom_site_occupancy
K1 K 0.000 0.000 0.000 1
K2 K 0.500 0.500 0.000 1
Tm1 Tm 0.000 0.500 0.500 1
Hf1 Hf 0.500 0.000 0.500 1
Se1 Se 0.245 0.000 0.704 1
Se2 Se 0.277 0.500 0.300 1

---

# K3Tm3HfSe8 (PBE-GGA, relaxed)
# * formation energy from raw total energies: -1.6761 eV/atom
data_K3Tm3HfSe8
_symmetry_space_group_name_H-M 'R -3 m'
_symmetry_Int_Tables_number 166
_symmetry_space_group_name_Hall '-R 3 2"'
_cell_length_a 8.1384
_cell_length_b 8.1384
_cell_length_c 23.5027
_cell_angle_alpha 90.00
_cell_angle_beta 90.00
_cell_angle_gamma 120.00
loop_
_atom_site_label
_atom_site_type_symbol
_atom_site_fract_x
_atom_site_fract_y
_atom_site_fract_z
_atom_site_occupancy
K1 K 0.0000 0.5000 0.0000 1
Tm1 Tm 0.0000 0.5000 0.5000 1
Hf1 Hf 0.0000 0.0000 0.5000 1
Se1 Se 0.0000 0.0000 0.2341 1
Se2 Se 0.0136 0.5068 0.2319 1

---

# K3Tm2HfSe6 (PBE-GGA, relaxed)
# * formation energy from raw total energies: -1.5710 eV/atom
data_K3Tm2HfSe6
_symmetry_space_group_name_H-M 'C 1 2/m 1'
_symmetry_Int_Tables_number 12
_cell_length_a 7.041
_cell_length_b 12.197
_cell_length_c 8.049
_cell_angle_alpha 90.00
_cell_angle_beta 106.98
_cell_angle_gamma 90.00
loop_
_symmetry_equiv_pos_as_xyz
'x,y,z'
'-x,-y,-z'
'-x,y,-z'
'x,-y,z'
'x+1/2,y+1/2,z'
'-x+1/2,-y+1/2,-z'
'-x+1/2,y+1/2,-z'
'x+1/2,-y+1/2,z'
loop_
_atom_site_label
_atom_site_type_symbol
_atom_site_fract_x
_atom_site_fract_y
_atom_site_fract_z
_atom_site_occupancy
K1 K 0.000 0.000 0.000 1
K2 K 0.000 0.330 0.000 1
Tm1 Tm 0.000 0.166 0.500 1
Hf1 Hf 0.000 0.500 0.500 1
Se1 Se 0.228 0.339 0.702 1
Se2 Se 0.247 0.000 0.703 1

---

# K2HfU2Se6 (PBE-GGA, relaxed)
# * formation energy from raw total energies: -1.2756 eV/atom
data_K2HfU2Se6
_symmetry_space_group_name_H-M 'C 1 2/m 1'
_symmetry_Int_Tables_number 12
_cell_length_a 7.022
_cell_length_b 12.060
_cell_length_c 8.305
_cell_angle_alpha 90.00
_cell_angle_beta 106.66
_cell_angle_gamma 90.00
loop_
_symmetry_equiv_pos_as_xyz
'x,y,z'
'-x,-y,-z'
'-x,y,-z'
'x,-y,z'
'x+1/2,y+1/2,z'
'-x+1/2,-y+1/2,-z'
'-x+1/2,y+1/2,-z'
'x+1/2,-y+1/2,z'
loop_
_atom_site_label
_atom_site_type_symbol
_atom_site_fract_x
_atom_site_fract_y
_atom_site_fract_z
_atom_site_occupancy
K1 K 0.000 0.170 0.000 1
Hf1 Hf 0.000 0.000 0.500 1
U1 U 0.000 0.333 0.500 1
Se1 Se 0.228 0.158 0.702 1
Se2 Se 0.247 0.000 0.299 1

---

# K3HfU2Se6 (PBE-GGA, relaxed)
# * formation energy from raw total energies: -1.2385 eV/atom
data_K3HfU2Se6
_symmetry_space_group_name_H-M 'C 1 2/m 1'
_symmetry_Int_Tables_number 12
_cell_length_a 7.100
_cell_length_b 12.298
_cell_length_c 8.140
_cell_angle_alpha 90.00
_cell_angle_beta 106.96
_cell_angle_gamma 90.00
loop_
_symmetry_equiv_pos_as_xyz
'x,y,z'
'-x,-y,-z'
'-x,y,-z'
'x,-y,z'
'x+1/2,y+1/2,z'
'-x+1/2,-y+1/2,-z'
'-x+1/2,y+1/2,-z'
'x+1/2,-y+1/2,z'
loop_
_atom_site_label
_atom_site_type_symbol
_atom_site_fract_x
_atom_site_fract_y
_atom_site_fract_z
_atom_site_occupancy
K1 K 0.000 0.000 0.000 1
K2 K 0.000 0.330 0.000 1
Hf1 Hf 0.000 0.500 0.500 1
U1 U 0.000 0.166 0.500 1
Se1 Se 0.227 0.342 0.706 1
Se2 Se 0.247 0.500 0.293 1